No. 1
Mg2AlP: relaxed, PBE-GGA.

Cell and atoms, written as CIF:
```
data_Mg2AlP
_chemical_formula_sum 'Mg4 Al2 P2'
_cell_length_a 4.020
_cell_length_b 5.930
_cell_length_c 7.455
_cell_angle_alpha 76.10
_cell_angle_beta 77.43
_cell_angle_gamma 75.36
_symmetry_space_group_name_H-M 'P 1'
_symmetry_Int_Tables_number 1
loop_
_symmetry_equiv_pos_as_xyz
'x,y,z'
loop_
_atom_site_label
_atom_site_fract_x
_atom_site_fract_y
_atom_site_fract_z
Mg1 0.000 0.000 0.000
Mg2 0.006 0.590 0.437
Mg3 0.316 0.033 0.579
Mg4 0.420 0.420 0.779
Al1 0.298 0.266 0.187
Al2 0.746 0.533 0.062
P1 0.474 0.841 0.258
P2 0.840 0.772 0.750
```

total DFT energy (no corrections): -3.293 eV per atom
crystal system: triclinic
excess energy over the best structure of this formula in the dataset: 37 meV/atom
energy of formation from the pure elements: -207 meV per atom

No. 2
MgAlP: relaxed, PBE-GGA.

Cell and atoms, written as CIF:
```
data_MgAlP
_chemical_formula_sum 'Mg4 Al4 P4'
_cell_length_a 6.289
_cell_length_b 6.289
_cell_length_c 6.289
_cell_angle_alpha 90.00
_cell_angle_beta 90.00
_cell_angle_gamma 90.00
_symmetry_space_group_name_H-M 'F -4 3 m'
_symmetry_Int_Tables_number 216
_symmetry_space_group_name_Hall 'F -4 2 3'
loop_
_atom_site_label
_atom_site_fract_x
_atom_site_fract_y
_atom_site_fract_z
Mg1 0.000 0.000 0.000
Al1 0.250 0.250 0.250
P1 0.250 0.250 0.750
```

total DFT energy (no corrections): -3.423 eV per atom
crystal system: cubic
energy of formation from the pure elements: 159 meV per atom

No. 3
Mg2AlP: relaxed, PBE-GGA.

Cell and atoms, written as CIF:
```
data_Mg2AlP
_chemical_formula_sum 'Mg4 Al2 P2'
_cell_length_a 6.228
_cell_length_b 3.757
_cell_length_c 7.002
_cell_angle_alpha 90.00
_cell_angle_beta 93.80
_cell_angle_gamma 90.00
_symmetry_space_group_name_H-M 'P 1 m 1'
_symmetry_Int_Tables_number 6
loop_
_symmetry_equiv_pos_as_xyz
'x,y,z'
'x,-y,z'
loop_
_atom_site_label
_atom_site_fract_x
_atom_site_fract_y
_atom_site_fract_z
Mg1 0.000 0.000 0.000
Mg2 0.150 0.500 0.614
Mg3 0.430 0.000 0.202
Mg4 0.717 0.000 0.601
Al1 0.629 0.500 0.912
Al2 0.774 0.500 0.292
P1 0.148 0.500 0.246
P2 0.378 0.000 0.807
```

total DFT energy (no corrections): -3.309 eV per atom
crystal system: monoclinic
excess energy over the best structure of this formula in the dataset: 21 meV/atom
energy of formation from the pure elements: -223 meV per atom

No. 4
MgAlP2: relaxed, PBE-GGA.

Cell and atoms, written as CIF:
```
data_MgAlP2
_chemical_formula_sum 'Mg2 Al2 P4'
_cell_length_a 3.664
_cell_length_b 5.209
_cell_length_c 7.250
_cell_angle_alpha 90.00
_cell_angle_beta 90.00
_cell_angle_gamma 90.00
_symmetry_space_group_name_H-M 'I m m m'
_symmetry_Int_Tables_number 71
_symmetry_space_group_name_Hall '-I 2 2'
loop_
_atom_site_label
_atom_site_fract_x
_atom_site_fract_y
_atom_site_fract_z
Mg1 0.000 0.000 0.000
Al1 0.000 0.000 0.500
P1 0.000 0.500 0.220
```

total DFT energy (no corrections): -4.093 eV per atom
crystal system: orthorhombic
excess energy over the best structure of this formula in the dataset: 285 meV/atom
energy of formation from the pure elements: -53 meV per atom

Question: The lowest energy of formation from the pure elements belongs to which entry?
Answer: number 3

Question: Among the records above, which one has the highest energy of formation from the pure elements?
Answer: MgAlP

Question: Which of these has the highest energy of formation from the pure elements?
Answer: MgAlP